1.
A relaxed Fe2HIrAu crystal. Source: Alexandria, functional PBE.

Cell lengths 3.9399, 3.9399, 3.8276 Å; angles 90.00, 90.00, 90.00 degrees
With the nearest neighbours (Å) after each atom.
Fractional positions:
Au  0.5000  0.5000  0.5000  8 Fe 2.75, 4 Ir 2.79
H  0.0000  0.0000  0.0000  2 Ir 1.91, 4 Fe 1.97
Fe  0.0000  0.5000  0.0000  2 H 1.97
Fe  0.5000  0.0000  0.0000  2 H 1.97
Ir  0.0000  0.0000  0.5000  2 H 1.91

Calculated values
Total moment, μB/cell: 6.61
Theoretical density, g/cm³: 14.03
Final energy, eV per atom: -6.403



2.
A relaxed LiFe2HAu crystal. Source: Alexandria, functional PBE.

Cell lengths 3.6209, 3.6209, 4.1965 Å; angles 90.00, 90.00, 90.00 degrees
With the nearest neighbours (Å) after each atom.
Fractional positions:
Fe  0.5000  0.0000  0.0000  2 H 1.81
Fe  0.0000  0.5000  0.0000  2 H 1.81
Li  0.0000  0.0000  0.5000  2 H 2.10
H  0.0000  0.0000  0.0000  4 Fe 1.81
Au  0.5000  0.5000  0.5000  4 Li 2.56, 8 Fe 2.77

Calculated values
Total moment, μB/cell: 4.88
Theoretical density, g/cm³: 9.56
Final energy, eV per atom: -5.158



3.
A relaxed Li2FeHAu crystal. Source: Alexandria, functional PBE.

Cell lengths 3.9119, 3.9119, 3.7146 Å; angles 90.00, 90.00, 90.00 degrees
With the nearest neighbours (Å) after each atom.
Fractional positions:
Li  0.5000  0.0000  0.0000  2 H 1.96
Li  0.0000  0.5000  0.0000  2 H 1.96
H  0.0000  0.0000  0.0000  2 Fe 1.86, 4 Li 1.96
Fe  0.0000  0.0000  0.5000  2 H 1.86
Au  0.5000  0.5000  0.5000  8 Li 2.70, 4 Fe 2.77

Calculated values
Total moment, μB/cell: 2.36
Theoretical density, g/cm³: 7.82
Final energy, eV per atom: -3.924



4.
A relaxed Mn2FeHAu crystal. Source: Alexandria, functional PBE.

Cell lengths 4.0129, 4.0129, 3.6757 Å; angles 90.00, 90.00, 90.00 degrees
With the nearest neighbours (Å) after each atom.
Fractional positions:
Au  0.5000  0.5000  0.5000  8 Mn 2.72, 4 Fe 2.84
Fe  0.0000  0.0000  0.5000  2 H 1.84
Mn  0.5000  0.0000  0.0000  2 H 2.01
Mn  0.0000  0.5000  0.0000  2 H 2.01
H  0.0000  0.0000  0.0000  2 Fe 1.84, 4 Mn 2.01

Calculated values
Total moment, μB/cell: 9.50
Theoretical density, g/cm³: 10.20
Final energy, eV per atom: -6.605



5.
A relaxed FeMo2HAu crystal. Source: Alexandria, functional PBE.

Cell lengths 3.9259, 3.9259, 4.0912 Å; angles 90.00, 90.00, 90.00 degrees
With the nearest neighbours (Å) after each atom.
Fractional positions:
Mo  0.5000  0.0000  0.0000  2 H 1.96
Mo  0.0000  0.5000  0.0000  2 H 1.96
Fe  0.0000  0.0000  0.5000  2 H 2.05
Au  0.5000  0.5000  0.5000  4 Fe 2.78, 8 Mo 2.84
H  0.0000  0.0000  0.0000  4 Mo 1.96, 2 Fe 2.05

Calculated values
Total moment, μB/cell: 2.42
Theoretical density, g/cm³: 11.74
Final energy, eV per atom: -7.192



6.
A relaxed NbFe2HAu crystal. Source: Alexandria, functional PBE.

Cell lengths 3.9280, 3.9280, 3.9181 Å; angles 90.00, 90.00, 90.00 degrees
With the nearest neighbours (Å) after each atom.
Fractional positions:
Fe  0.5000  0.0000  0.0000  2 H 1.96
Fe  0.0000  0.5000  0.0000  2 H 1.96
H  0.0000  0.0000  0.0000  2 Nb 1.96, 4 Fe 1.96
Au  0.5000  0.5000  0.5000  8 Fe 2.77, 4 Nb 2.78
Nb  0.0000  0.0000  0.5000  2 H 1.96

Calculated values
Total moment, μB/cell: 2.97
Theoretical density, g/cm³: 11.06
Final energy, eV per atom: -6.665



7.
A relaxed Nb2FeHAu crystal. Source: Alexandria, functional PBE.

Cell lengths 4.0627, 4.0627, 3.9918 Å; angles 90.00, 90.00, 90.00 degrees
With the nearest neighbours (Å) after each atom.
Fractional positions:
Fe  0.0000  0.0000  0.5000  2 H 2.00
Au  0.5000  0.5000  0.5000  8 Nb 2.85, 4 Fe 2.87
H  0.0000  0.0000  0.0000  2 Fe 2.00, 4 Nb 2.03
Nb  0.0000  0.5000  0.0000  2 H 2.03
Nb  0.5000  0.0000  0.0000  2 H 2.03

Calculated values
Total moment, μB/cell: 0.00
Theoretical density, g/cm³: 11.08
Final energy, eV per atom: -7.096



8.
A relaxed Fe2HPbAu crystal. Source: Alexandria, functional PBE.

Cell lengths 4.8906, 5.5577, 4.8906 Å; angles 90.00, 90.00, 90.00 degrees
With the nearest neighbours (Å) after each atom.
Fractional positions:
Au  0.0000  0.0000  0.0000  4 Fe 2.45
Pb  0.0000  0.5000  0.0000  2 Au 2.78
Fe  0.5000  0.0000  0.0000  2 Au 2.45
Fe  0.0000  0.0000  0.5000  2 Au 2.45
H  0.5000  0.5000  0.5000  4 Pb 3.46, 8 Fe 3.70

Calculated values
Total moment, μB/cell: 6.92
Theoretical density, g/cm³: 6.46
Final energy, eV per atom: -4.011



9.
A relaxed FeHPd2Au crystal. Source: Alexandria, functional PBE.

Cell lengths 4.0007, 4.0007, 3.9891 Å; angles 90.00, 90.00, 90.00 degrees
With the nearest neighbours (Å) after each atom.
Fractional positions:
Pd  0.5000  0.0000  0.0000  2 H 2.00
Pd  0.0000  0.5000  0.0000  2 H 2.00
Au  0.5000  0.5000  0.5000  8 Pd 2.82, 4 Fe 2.83
Fe  0.0000  0.0000  0.5000  2 H 1.99
H  0.0000  0.0000  0.0000  2 Fe 1.99, 4 Pd 2.00

Calculated values
Total moment, μB/cell: 3.51
Theoretical density, g/cm³: 12.14
Energy above the lowest structure with this stoichiometry, meV/atom: 0
Final energy, eV per atom: -5.103



10.
A relaxed FeHPd2Au crystal. Source: Alexandria, functional PBE.

Cell lengths 4.0000, 4.0000, 4.0650 Å; angles 90.00, 90.00, 90.00 degrees
With the nearest neighbours (Å) after each atom.
Fractional positions:
H  0.0000  0.0000  0.0000  4 Pd 2.00, 2 Au 2.03
Au  0.0000  0.0000  0.5000  2 H 2.03
Pd  0.0000  0.5000  0.0000  2 H 2.00
Pd  0.5000  0.0000  0.0000  2 H 2.00
Fe  0.5000  0.5000  0.5000  4 Au 2.83, 8 Pd 2.85

Calculated values
Total moment, μB/cell: 3.87
Theoretical density, g/cm³: 11.91
Energy above the lowest structure with this stoichiometry, meV/atom: 85
Final energy, eV per atom: -5.018



11.
A relaxed FeH2PdAu crystal. Source: Alexandria, functional PBE.

Cell lengths 3.6493, 5.0324, 3.6493 Å; angles 90.00, 90.00, 90.00 degrees
With the nearest neighbours (Å) after each atom.
Fractional positions:
Fe  0.0000  0.0000  0.0000  4 H 1.82
H  0.0000  0.0000  0.5000  2 Fe 1.82
H  0.5000  0.0000  0.0000  2 Fe 1.82
Pd  0.5000  0.5000  0.5000  4 Au 2.58
Au  0.0000  0.5000  0.0000  2 Fe 2.52, 4 Pd 2.58

Calculated values
Total moment, μB/cell: 2.96
Theoretical density, g/cm³: 8.95
Final energy, eV per atom: -4.115



12.
A relaxed Fe2HRhAu crystal. Source: Alexandria, functional PBE.

Cell lengths 3.9198, 3.9198, 3.8377 Å; angles 90.00, 90.00, 90.00 degrees
With the nearest neighbours (Å) after each atom.
Fractional positions:
Rh  0.0000  0.0000  0.5000  2 H 1.92
Fe  0.5000  0.0000  0.0000  2 H 1.96
Fe  0.0000  0.5000  0.0000  2 H 1.96
Au  0.5000  0.5000  0.5000  8 Fe 2.74, 4 Rh 2.77
H  0.0000  0.0000  0.0000  2 Rh 1.92, 4 Fe 1.96

Calculated values
Total moment, μB/cell: 6.68
Theoretical density, g/cm³: 11.62
Final energy, eV per atom: -6.177



Repeat the ninth record exactly.
A relaxed FeHPd2Au crystal. Source: Alexandria, functional PBE.

Cell lengths 4.0007, 4.0007, 3.9891 Å; angles 90.00, 90.00, 90.00 degrees
With the nearest neighbours (Å) after each atom.
Fractional positions:
Pd  0.5000  0.0000  0.0000  2 H 2.00
Pd  0.0000  0.5000  0.0000  2 H 2.00
Au  0.5000  0.5000  0.5000  8 Pd 2.82, 4 Fe 2.83
Fe  0.0000  0.0000  0.5000  2 H 1.99
H  0.0000  0.0000  0.0000  2 Fe 1.99, 4 Pd 2.00

Calculated values
Total moment, μB/cell: 3.51
Theoretical density, g/cm³: 12.14
Energy above the lowest structure with this stoichiometry, meV/atom: 0
Final energy, eV per atom: -5.103